(1)
{"formula": "SiAsP", "functional": "PBE", "state": "optimized geometry", "formation_energy_uncorrected_ev_per_atom": 0.125, "de_polymorph_mev_per_atom": 73, "m_tot_mub_per_cell": 0.00, "cell": [[3.718, -0.039, -0.008], [0.058, 5.925, -2.746], [-0.008, -1.989, 6.144]], "species": ["As", "As", "Si", "Si", "P", "P"], "frac_coords": [[0.657, 0.472, 0.198], [0.157, 0.972, 0.198], [0.157, 0.826, 0.474], [0.657, 0.326, 0.473], [0.657, 0.156, 0.713], [0.157, 0.656, 0.713]]}

(2)
{"formula": "LaHo2ThSc", "functional": "PBE", "state": "optimized geometry", "delta_e_f_kcal_per_mol_atoms": 1.4, "m_tot_mub_per_cell": 0.00, "cell": [[5.037, 0.000, 0.000], [0.000, 7.650, 1.690], [0.000, -1.784, 7.670]], "species": ["Th", "Th", "La", "La", "Ho", "Ho", "Ho", "Ho", "Sc", "Sc"], "frac_coords": [[0.750, 0.054, 0.150], [0.250, 0.946, 0.850], [0.750, 0.248, 0.746], [0.250, 0.752, 0.254], [0.750, 0.840, 0.555], [0.250, 0.346, 0.048], [0.750, 0.654, 0.952], [0.250, 0.160, 0.445], [0.750, 0.448, 0.347], [0.250, 0.552, 0.653]]}

(3)
{"formula": "Cs2PuPd2Se4", "functional": "PBE", "state": "optimized geometry", "formation_energy_uncorrected_ev_per_atom": -0.959, "m_tot_mub_per_cell": 3.51, "cell": [[-0.842, 2.075, -3.622], [-6.909, -3.444, 2.137], [0.458, 7.331, 4.094]], "species": ["Se", "Se", "Se", "Se", "Cs", "Cs", "Pu", "Pd", "Pd"], "frac_coords": [[0.515, 0.030, 0.782], [0.485, 0.970, 0.218], [0.809, 0.619, 0.842], [0.191, 0.381, 0.158], [0.864, 0.728, 0.429], [0.136, 0.272, 0.571], [0.000, 0.000, 0.000], [0.684, 0.368, 0.993], [0.316, 0.632, 0.007]]}

| no. | total DFT energy (no corrections) (eV/atom) |
| --- | --- |
| 1 | -5.04 |
| 2 | -5.51 |
| 3 | -5.44 |